No. 1
Here is a relaxed ScBe2Mo crystal from OQMD via LeMat-Bulk. Energies are from PBE.

Structure (POSCAR):
```
ScBe2Mo
1.0
6.067 0.000 0.000
0.000 6.067 0.000
0.000 0.000 6.067
Sc Be Mo
4 8 4
direct
0.000 0.000 0.000
0.000 0.500 0.500
0.500 0.000 0.500
0.500 0.500 0.000
0.000 0.000 0.500
0.000 0.500 0.000
0.250 0.250 0.750
0.250 0.750 0.250
0.500 0.000 0.000
0.500 0.500 0.500
0.750 0.250 0.250
0.750 0.750 0.750
0.250 0.250 0.250
0.250 0.750 0.750
0.750 0.250 0.750
0.750 0.750 0.250
```

Values from the calculation:
Total energy   -5.6494 eV/atom

=====

No. 2
Here is a relaxed BeNiGePt crystal from OQMD via LeMat-Bulk. Energies are from PBE.

Structure (POSCAR):
```
BeNiGePt
1.0
5.846 0.000 0.000
0.000 5.846 0.000
0.000 0.000 5.846
Be Ni Ge Pt
4 4 4 4
direct
0.000 0.000 0.000
0.000 0.500 0.500
0.500 0.000 0.500
0.500 0.500 0.000
0.250 0.250 0.750
0.250 0.750 0.250
0.750 0.250 0.250
0.750 0.750 0.750
0.000 0.000 0.500
0.000 0.500 0.000
0.500 0.000 0.000
0.500 0.500 0.500
0.250 0.250 0.250
0.250 0.750 0.750
0.750 0.250 0.750
0.750 0.750 0.250
```

Values from the calculation:
Energy relative to the lowest polymorph listed for this composition   0.000 eV/atom
Total energy   -5.3011 eV/atom